First-principles (PBE) data for a geometry-optimized Ho2BiPd9 structure, as listed in Alexandria.

Cell: 4.1196 4.1196 12.3575 Å, 90.00 90.00 90.00°
Last column: nearest neighbours and their distance in Å.
Positions (direct):
Ho 0.0000 0.0000 0.1631  12 Pd 2.88-2.94
Ho 0.0000 0.0000 0.8369  12 Pd 2.88-2.94
Bi 0.0000 0.0000 0.5000  12 Pd 2.91-2.92
Pd 0.0000 0.5000 0.0000  4 Ho 2.88, 8 Pd 2.91-2.94
Pd 0.0000 0.5000 0.3329  8 Pd 2.89-2.92, 2 Bi 2.92, 2 Ho 2.94
Pd 0.0000 0.5000 0.6671  8 Pd 2.89-2.92, 2 Bi 2.92, 2 Ho 2.94
Pd 0.5000 0.0000 0.0000  4 Ho 2.88, 8 Pd 2.91-2.94
Pd 0.5000 0.0000 0.3329  8 Pd 2.89-2.92, 2 Bi 2.92, 2 Ho 2.94
Pd 0.5000 0.0000 0.6671  8 Pd 2.89-2.92, 2 Bi 2.92, 2 Ho 2.94
Pd 0.5000 0.5000 0.1694  8 Pd 2.89-2.94, 4 Ho 2.91
Pd 0.5000 0.5000 0.5000  4 Bi 2.91, 8 Pd 2.92
Pd 0.5000 0.5000 0.8306  8 Pd 2.89-2.94, 4 Ho 2.91

Properties
Crystal system: tetragonal
Density (g/cm3): 11.8
Formation enthalpy at 0 K (meV/atom): -686
Space-group type: P4/mmm (123)